(1)
## LaZn (PBE)

Data for a relaxed structure of LaZn.

Unit cell a=4.4512 b=4.4512 c=4.4512 alpha=60.00 beta=60.00 gamma=60.00
Positions (direct):
Zn: 0.5000 0.5000 0.5000
La: 0.0000 0.0000 0.0000

(2)
## La5Zn (PBE)

Data for a relaxed structure of La5Zn.

Unit cell a=3.8300 b=6.6218 c=8.9650 alpha=69.21 beta=90.00 gamma=106.81
Positions (direct):
La: 0.3584 0.7168 0.8139
La: 0.6916 0.3832 0.6132
La: 0.0531 0.1062 0.9712
La: 0.3343 0.6687 0.2552
La: 0.0322 0.0645 0.4046
Zn: 0.6970 0.3941 0.1085

(3)
## LaZn (PBE)

Data for a relaxed structure of LaZn.

Unit cell a=6.0425 b=6.0425 c=6.0425 alpha=90.00 beta=90.00 gamma=90.00
Positions (direct):
Zn: 0.4148 0.9148 0.5852
Zn: 0.9148 0.5852 0.4148
Zn: 0.0852 0.0852 0.0852
Zn: 0.5852 0.4148 0.9148
La: 0.9317 0.0683 0.5683
La: 0.0683 0.5683 0.9317
La: 0.5683 0.9317 0.0683
La: 0.4317 0.4317 0.4317

(4)
## La2Zn (PBE)

Data for a relaxed structure of La2Zn.

Unit cell a=3.7699 b=3.7699 c=12.7098 alpha=90.00 beta=90.00 gamma=90.00
Positions (direct):
La: 0.0000 0.0000 0.5000
La: 0.5000 0.5000 0.0000
La: 0.5000 0.5000 0.7088
La: 0.5000 0.5000 0.2912
Zn: 0.0000 0.0000 0.8520
Zn: 0.0000 0.0000 0.1480

(5)
## La5Zn4 (PBE)

Data for a relaxed structure of La5Zn4.

Unit cell a=9.2746 b=9.2746 c=6.9052 alpha=90.00 beta=90.00 gamma=60.00
Positions (direct):
La: 0.7154 0.0000 0.2500
La: 0.6667 0.6667 0.5000
La: 0.7154 0.2846 0.7500
La: 0.2846 0.0000 0.7500
La: 0.3333 0.3333 0.5000
La: 0.0000 0.7154 0.7500
La: 0.3333 0.3333 0.0000
La: 0.6667 0.6667 0.0000
La: 0.2846 0.7154 0.2500
La: 0.0000 0.2846 0.2500
Zn: 0.0000 0.6244 0.2500
Zn: 0.0000 0.0000 0.5000
Zn: 0.3756 0.6244 0.7500
Zn: 0.0000 0.0000 0.0000
Zn: 0.0000 0.3756 0.7500
Zn: 0.6244 0.0000 0.7500
Zn: 0.6244 0.3756 0.2500
Zn: 0.3756 0.0000 0.2500

(6)
## La5Zn2 (PBE)

Data for a relaxed structure of La5Zn2.

Unit cell a=6.8998 b=8.1222 c=9.2789 alpha=115.96 beta=111.83 gamma=90.00
Positions (direct):
La: 0.2500 0.5000 0.0000
La: 0.5777 0.9142 0.1554
La: 0.7500 0.5000 0.0000
La: 0.0777 0.2412 0.1554
La: 0.9223 0.7588 0.8446
La: 0.0124 0.2624 0.5249
La: 0.4876 0.7376 0.4751
La: 0.4223 0.0858 0.8446
La: 0.9876 0.7376 0.4751
La: 0.5124 0.2624 0.5249
Zn: 0.1266 0.8967 0.2533
Zn: 0.8734 0.1033 0.7467
Zn: 0.6266 0.3566 0.2533
Zn: 0.3734 0.6434 0.7467

(7)
## La3Zn (PBE)

Data for a relaxed structure of La3Zn.

Unit cell a=7.1022 b=5.3751 c=6.3225 alpha=90.00 beta=90.00 gamma=90.00
Positions (direct):
La: 0.5000 0.0000 0.6164
La: 0.7460 0.0000 0.1797
La: 0.0000 0.5000 0.3836
La: 0.2460 0.5000 0.8203
La: 0.2540 0.0000 0.1797
La: 0.7540 0.5000 0.8203
Zn: 0.0000 0.0000 0.6849
Zn: 0.5000 0.5000 0.3151

(8)
## La2Zn (PBE)

Data for a relaxed structure of La2Zn.

Unit cell a=10.0866 b=10.0866 c=10.0866 alpha=60.00 beta=60.00 gamma=60.00
Positions (direct):
La: 0.5000 0.5000 0.5000
La: 0.9379 0.4379 0.3121
La: 0.0621 0.5621 0.6879
La: 0.6879 0.1879 0.0621
La: 0.6879 0.5621 0.0621
La: 0.0000 0.0000 0.5000
La: 0.5000 0.0000 0.0000
La: 0.0621 0.1879 0.0621
La: 0.3121 0.4379 0.3121
La: 0.3121 0.4379 0.9379
La: 0.0621 0.1879 0.6879
La: 0.5000 0.0000 0.5000
La: 0.6879 0.5621 0.6879
La: 0.3121 0.8121 0.9379
La: 0.9379 0.8121 0.9379
La: 0.9379 0.8121 0.3121
Zn: 0.6436 0.7855 0.2855
Zn: 0.7145 0.2145 0.3564
Zn: 0.2855 0.7855 0.6436
Zn: 0.7145 0.2145 0.7145
Zn: 0.2855 0.1436 0.2855
Zn: 0.7145 0.8564 0.7145
Zn: 0.2855 0.7855 0.2855
Zn: 0.3564 0.2145 0.7145

no.,size of the total moment (μB/cell),DFT total energy (eV per atom),ΔH_f (0 K) (meV per atom)
1,1.37,-3.10,5
2,0.00,-4.41,-91
3,0.00,-3.27,-173
4,0.00,-3.92,-211
5,0.00,-3.48,-178
6,0.00,-4.01,-126
7,0.00,-4.08,-66
8,0.00,-3.86,-147